Record 1
VASP calculation (PBE-GGA) on a relaxed structure of Ba2GePIr.

For the total energy, the calculation gives -24.1 eV for the cell shown. The excess energy over the best structure of this formula in the dataset is 0.427 eV per atom. The calculation puts the formation energy from the elements at -0.269 eV/atom.

It has space group P4/mmm (No. 123), with a = 6.0156 Å, b = 6.0156 Å, c = 4.6756 Å, α = 90.00°, β = 90.00° and γ = 90.00°. Symmetry generates all atoms from Ba at (0.0000, 0.5000, 0.0000), Ge at (0.0000, 0.0000, 0.5000), P at (0.5000, 0.5000, 0.5000) and Ir at (0.0000, 0.0000, 0.0000).

Record 2
VASP calculation (PBE-GGA) on a relaxed structure of BaGeIrPd.

For the total energy, the calculation gives -44.9 eV for the cell shown. The calculation puts the formation energy from the elements at -0.465 eV/atom.

It has space group P4/nmm (No. 129, origin choice 2), with a = 4.0954 Å, b = 4.0954 Å, c = 11.5122 Å, α = 90.00°, β = 90.00° and γ = 90.00°. Symmetry generates all atoms from Ba at (0.2500, 0.2500, 0.2203), Ge at (0.2500, 0.2500, 0.6200), Ir at (0.2500, 0.7500, 0.5000) and Pd at (0.2500, 0.7500, 0.0000).

- What is the formula in the first record?
  Ba2GePIr